! Ba4Na2P (PBE-GGA, relaxed); values from VASP
&SYSTEM
  ibrav = 0, nat = 7, ntyp = 3
/
ATOMIC_SPECIES
P 30.97 P.upf
Ba 137.33 Ba.upf
Na 22.99 Na.upf
CELL_PARAMETERS angstrom
6.3031 0.0000 0.0000
0.0000 6.3031 0.0000
-3.1516 -3.1516 9.6625
ATOMIC_POSITIONS angstrom
P 0.0000 0.0000 0.0000
Ba 3.1516 3.1516 6.4765
Ba 0.0000 0.0000 3.1860
Ba 0.0000 3.1516 0.0000
Ba 3.1516 0.0000 0.0000
Na 3.1516 3.1516 2.5987
Na 0.0000 0.0000 7.0638
! Calculated total energy, eV/atom: -2.53
! Energy above the most stable polymorph in this dataset, eV/atom: 0.037
! ΔH_f (0 K), eV per atom: -0.2821
! Crystal system: tetragonal
! Calculated density, g cm⁻³: 2.7